DFT (GGA-PBE) results for an optimized crystal structure of CdBiW4C2.

Lattice parameters (Å, degrees): 3.146 3.146 14.621 90.00 90.00 120.00
Fractional coordinates of all 8 atoms:
C 0.667 0.333 0.257
C 0.667 0.333 0.743
W 0.000 0.000 0.334
W 0.333 0.667 0.818
W 0.000 0.000 0.666
W 0.333 0.667 0.182
Cd 0.333 0.667 0.500
Bi 0.000 0.000 0.000

---

DFT (GGA-PBE) results for an optimized crystal structure of PmTmRe.

Lattice parameters (Å, degrees): 4.782 4.782 4.782 60.00 60.00 60.00
Fractional coordinates of all 3 atoms:
Pm 0.250 0.250 0.250
Tm 0.000 0.000 0.000
Re 0.750 0.750 0.750

---

DFT (GGA-PBE) results for an optimized crystal structure of YAl3Ni.

Lattice parameters (Å, degrees): 8.153 4.045 10.649 90.00 90.00 90.00
Fractional coordinates of all 20 atoms:
Al 0.644 0.750 0.279
Al 0.144 0.750 0.221
Al 0.114 0.750 0.786
Al 0.945 0.750 0.417
Al 0.055 0.250 0.583
Al 0.555 0.250 0.917
Al 0.386 0.250 0.286
Al 0.614 0.750 0.714
Al 0.356 0.250 0.721
Al 0.445 0.750 0.083
Al 0.886 0.250 0.214
Al 0.856 0.250 0.779
Y 0.815 0.750 0.991
Y 0.685 0.250 0.491
Y 0.315 0.750 0.509
Y 0.185 0.250 0.009
Ni 0.894 0.750 0.643
Ni 0.106 0.250 0.357
Ni 0.394 0.750 0.857
Ni 0.606 0.250 0.143

---

DFT (GGA-PBE) results for an optimized crystal structure of NdAl2Cu.

Lattice parameters (Å, degrees): 9.153 9.153 9.153 35.36 35.36 35.36
Fractional coordinates of all 12 atoms:
Al 0.580 0.078 0.580
Al 0.420 0.420 0.922
Al 0.580 0.580 0.078
Al 0.078 0.580 0.580
Al 0.922 0.420 0.420
Al 0.420 0.922 0.420
Cu 0.335 0.335 0.335
Cu 0.500 0.500 0.500
Cu 0.665 0.665 0.665
Nd 0.858 0.858 0.858
Nd 0.000 0.000 0.000
Nd 0.142 0.142 0.142

---

DFT (GGA-PBE) results for an optimized crystal structure of In4NiPd.

Computed properties:
- ΔE to the lowest computed polymorph: 62 meV per atom

Lattice parameters (Å, degrees): 9.017 9.017 6.993 90.00 90.00 152.70
Fractional coordinates of all 12 atoms:
Ni 0.299 0.701 0.750
Ni 0.701 0.299 0.250
Pd 0.291 0.709 0.250
Pd 0.709 0.291 0.750
In 0.829 0.171 0.498
In 0.171 0.829 0.502
In 0.171 0.829 0.998
In 0.000 0.000 0.500
In 0.829 0.171 0.002
In 0.557 0.443 0.750
In 0.443 0.557 0.250
In 0.000 0.000 0.000

---

DFT (GGA-PBE) results for an optimized crystal structure of ZrCoSiAg.

Computed properties:
- ΔE to the lowest computed polymorph: 0 meV per atom

Lattice parameters (Å, degrees): 4.456 4.456 4.456 60.00 60.00 60.00
Fractional coordinates of all 4 atoms:
Ag 0.250 0.250 0.250
Si 0.000 0.000 0.000
Zr 0.500 0.500 0.500
Co 0.750 0.750 0.750

---

DFT (GGA-PBE) results for an optimized crystal structure of CsAs2PdPt.

Lattice parameters (Å, degrees): 4.541 4.541 7.085 102.29 102.29 101.28
Fractional coordinates of all 5 atoms:
As 0.374 0.373 0.646
As 0.627 0.626 0.354
Pt 0.202 0.798 0.500
Pd 0.797 0.203 0.500
Cs 0.000 0.000 0.000

---

DFT (GGA-PBE) results for an optimized crystal structure of Li4GeAsPd2.

Lattice parameters (Å, degrees): 4.287 4.287 6.061 90.00 90.00 90.00
Fractional coordinates of all 8 atoms:
Pd 0.000 0.500 0.255
Pd 0.500 0.000 0.745
As 0.000 0.000 0.000
Ge 0.500 0.500 0.500
Li 0.500 0.500 0.000
Li 0.000 0.000 0.500
Li 0.000 0.500 0.752
Li 0.500 0.000 0.248

---

DFT (GGA-PBE) results for an optimized crystal structure of Sc4CuNiC2.

Lattice parameters (Å, degrees): 3.368 3.368 12.742 90.00 90.00 120.00
Fractional coordinates of all 8 atoms:
Sc 0.667 0.333 0.161
Sc 0.000 0.000 0.353
Sc 0.000 0.000 0.647
Sc 0.667 0.333 0.839
Cu 0.000 0.000 0.000
C 0.333 0.667 0.748
C 0.333 0.667 0.252
Ni 0.667 0.333 0.500

---

DFT (GGA-PBE) results for an optimized crystal structure of GdPPbO.

Computed properties:
- ΔE to the lowest computed polymorph: 79 meV per atom

Lattice parameters (Å, degrees): 4.770 6.853 6.364 90.00 90.00 90.00
Fractional coordinates of all 8 atoms:
Pb 0.500 0.206 0.452
Pb 0.500 0.794 0.952
O 0.000 0.369 0.375
O 0.000 0.631 0.875
P 0.500 0.801 0.395
P 0.500 0.199 0.895
Gd 0.000 0.646 0.533
Gd 0.000 0.354 0.033

---

DFT (GGA-PBE) results for an optimized crystal structure of ZrSc2Zn5.

Lattice parameters (Å, degrees): 4.542 5.702 5.702 73.09 90.00 90.00
Fractional coordinates of all 8 atoms:
Zn 0.000 0.394 0.855
Zn 0.000 0.855 0.394
Zn 0.500 0.136 0.617
Zn 0.500 0.119 0.119
Zn 0.500 0.617 0.136
Zr 0.000 0.898 0.898
Sc 0.500 0.631 0.631
Sc 0.000 0.349 0.349

---

DFT (GGA-PBE) results for an optimized crystal structure of SrTcAs2.

Computed properties:
- ΔE to the lowest computed polymorph: 0 meV per atom

Lattice parameters (Å, degrees): 8.836 8.836 4.656 90.00 90.00 150.52
Fractional coordinates of all 8 atoms:
Sr 0.103 0.897 0.750
Sr 0.897 0.103 0.250
As 0.547 0.453 0.250
As 0.749 0.251 0.750
As 0.453 0.547 0.750
As 0.251 0.749 0.250
Tc 0.685 0.315 0.250
Tc 0.315 0.685 0.750

---

DFT (GGA-PBE) results for an optimized crystal structure of Ag3SbS3.

Computed properties:
- ΔE to the lowest computed polymorph: 0 meV per atom

Lattice parameters (Å, degrees): 6.974 15.950 6.345 90.00 116.26 90.00
Fractional coordinates of all 28 atoms:
Ag 0.561 0.310 0.291
Ag 0.974 0.243 0.689
Ag 0.913 0.903 0.972
Ag 0.913 0.597 0.472
Ag 0.087 0.097 0.028
Ag 0.087 0.403 0.528
Ag 0.561 0.190 0.791
Ag 0.026 0.743 0.811
Ag 0.439 0.810 0.209
Ag 0.439 0.690 0.709
Ag 0.026 0.757 0.311
Ag 0.974 0.257 0.189
S 0.715 0.444 0.230
S 0.558 0.666 0.375
S 0.558 0.834 0.875
S 0.971 0.635 0.057
S 0.442 0.334 0.625
S 0.715 0.056 0.730
S 0.029 0.365 0.943
S 0.442 0.166 0.125
S 0.285 0.944 0.270
S 0.029 0.135 0.443
S 0.971 0.865 0.557
S 0.285 0.556 0.770
Sb 0.309 0.550 0.177
Sb 0.691 0.450 0.823
Sb 0.309 0.950 0.677
Sb 0.691 0.050 0.323

---

DFT (GGA-PBE) results for an optimized crystal structure of Nd2Cd4NiPt.

Lattice parameters (Å, degrees): 8.426 5.442 5.442 45.76 90.00 90.00
Fractional coordinates of all 8 atoms:
Cd 0.192 0.856 0.856
Cd 0.808 0.856 0.856
Cd 0.710 0.145 0.145
Cd 0.290 0.145 0.145
Pt 0.500 0.725 0.725
Ni 0.000 0.276 0.276
Nd 0.000 0.564 0.564
Nd 0.500 0.433 0.433

---

DFT (GGA-PBE) results for an optimized crystal structure of LuGePt2.

Lattice parameters (Å, degrees): 4.141 6.386 5.610 90.00 90.00 90.00
Fractional coordinates of all 8 atoms:
Pt 0.000 0.252 0.346
Pt 0.500 0.173 0.664
Pt 0.000 0.827 0.164
Pt 0.500 0.748 0.846
Ge 0.000 0.888 0.621
Ge 0.500 0.112 0.121
Lu 0.000 0.424 0.869
Lu 0.500 0.576 0.369

---

DFT (GGA-PBE) results for an optimized crystal structure of NpAs.

Computed properties:
- ΔE to the lowest computed polymorph: 366 meV per atom

Lattice parameters (Å, degrees): 5.794 5.438 5.699 90.00 90.00 90.00
Fractional coordinates of all 8 atoms:
As 0.750 0.000 0.648
As 0.250 0.000 0.352
As 0.250 0.500 0.994
As 0.750 0.500 0.006
Np 0.500 0.500 0.500
Np 0.250 0.000 0.852
Np 0.000 0.500 0.500
Np 0.750 0.000 0.148

---

DFT (GGA-PBE) results for an optimized crystal structure of ZrAs.

Lattice parameters (Å, degrees): 5.473 8.613 5.474 90.00 90.00 107.85
Fractional coordinates of all 12 atoms:
As 0.029 0.861 0.500
As 0.863 0.528 0.000
As 0.530 0.862 0.000
As 0.194 0.195 0.000
As 0.360 0.528 0.500
As 0.692 0.194 0.500
Zr 0.193 0.195 0.500
Zr 0.363 0.529 0.000
Zr 0.030 0.860 0.000
Zr 0.529 0.860 0.500
Zr 0.859 0.527 0.500
Zr 0.694 0.195 0.000

---

DFT (GGA-PBE) results for an optimized crystal structure of NdTlHgSe3.

Computed properties:
- ΔE to the lowest computed polymorph: 0 meV per atom

Lattice parameters (Å, degrees): 11.255 4.323 14.351 90.00 90.00 90.00
Fractional coordinates of all 24 atoms:
Nd 0.011 0.250 0.756
Nd 0.989 0.750 0.244
Nd 0.489 0.750 0.256
Nd 0.511 0.250 0.744
Hg 0.259 0.750 0.790
Hg 0.741 0.250 0.210
Hg 0.241 0.250 0.290
Hg 0.759 0.750 0.710
Se 0.435 0.250 0.393
Se 0.259 0.250 0.671
Se 0.962 0.750 0.616
Se 0.935 0.250 0.107
Se 0.462 0.750 0.884
Se 0.038 0.250 0.384
Se 0.741 0.750 0.329
Se 0.065 0.750 0.893
Se 0.759 0.250 0.829
Se 0.538 0.250 0.116
Se 0.565 0.750 0.607
Se 0.241 0.750 0.171
Tl 0.229 0.750 0.499
Tl 0.271 0.250 0.999
Tl 0.729 0.750 0.001
Tl 0.771 0.250 0.501

---

DFT (GGA-PBE) results for an optimized crystal structure of PuSiTe.

Lattice parameters (Å, degrees): 4.827 4.827 4.827 60.00 60.00 60.00
Fractional coordinates of all 3 atoms:
Te 0.750 0.750 0.750
Si 0.000 0.000 0.000
Pu 0.250 0.250 0.250

---

DFT (GGA-PBE) results for an optimized crystal structure of Nd2HoO4.

Lattice parameters (Å, degrees): 6.948 6.948 6.948 119.99 90.01 119.99
Fractional coordinates of all 14 atoms:
O 0.126 0.252 0.874
O 0.622 0.748 0.874
O 0.624 0.248 0.872
O 0.128 0.752 0.376
O 0.624 0.248 0.376
O 0.624 0.752 0.376
O 0.126 0.748 0.874
O 0.126 0.252 0.378
Ho 0.000 0.000 0.000
Ho 0.750 0.500 0.250
Nd 0.375 0.750 0.125
Nd 0.875 0.250 0.625
Nd 0.375 0.750 0.625
Nd 0.375 0.250 0.625

---

Number 1: electronic total energy -71.95 eV/cell. Number 2: electronic total energy -18.36 eV/cell. Number 3: electronic total energy -105.15 eV/cell. Number 4: electronic total energy -53.14 eV/cell. Number 5: electronic total energy -43.57 eV/cell. Number 6: electronic total energy -24.33 eV/cell. Number 7: electronic total energy -23.99 eV/cell. Number 8: electronic total energy -32.07 eV/cell. Number 9: electronic total energy -55.56 eV/cell. Number 10: electronic total energy -48.09 eV/cell. Number 11: electronic total energy -29.85 eV/cell. Number 12: electronic total energy -46.67 eV/cell. Number 13: electronic total energy -103.87 eV/cell. Number 14: electronic total energy -28.64 eV/cell. Number 15: electronic total energy -49.95 eV/cell. Number 16: electronic total energy -72.89 eV/cell. Number 17: electronic total energy -92.14 eV/cell. Number 18: electronic total energy -94.15 eV/cell. Number 19: electronic total energy -22.93 eV/cell. Number 20: electronic total energy -111.26 eV/cell.